# 1
DFT (PBE) results for an optimized crystal structure of NaSe3N.

The structure in extended XYZ format:
```
5
Lattice="5.221 0.000 0.000 0.000 5.221 0.000 0.000 0.000 5.221" Properties=species:S:1:pos:R:3 pbc="T T T"
Na 0.000 0.000 0.000
Se 0.000 0.000 2.610
Se 0.000 2.610 0.000
Se 2.610 0.000 0.000
N 2.610 2.610 2.610
```

Summary:
DOS at the Fermi energy: 5.78 states/eV/cell
M_tot: 2.8 Bohr magnetons per cell
Calculated volume: 28.46 Å³ per atom
Formation energy from raw total energies: 1.69 eV/atom

# 2
DFT (PBE) results for an optimized crystal structure of NbAlAgPt2.

The structure in extended XYZ format:
```
5
Lattice="4.551 0.000 0.000 0.000 4.551 0.000 0.000 0.000 4.832" Properties=species:S:1:pos:R:3 pbc="T T T"
Nb 0.000 0.000 0.000
Al 0.000 0.000 2.416
Ag 2.275 2.275 0.000
Pt 0.000 2.275 2.416
Pt 2.275 0.000 2.416
```

Summary:
DOS at the Fermi energy: 5.76 states/eV/cell
M_tot: 2.2 Bohr magnetons per cell
Formation enthalpy at 0 K: 0.6955 eV per atom
Calculated volume: 20.01 Å³ per atom

# 3
DFT (PBE) results for an optimized crystal structure of KTc2AsPb.

The structure in extended XYZ format:
```
5
Lattice="5.216 0.000 0.000 0.000 5.216 0.000 0.000 0.000 5.923" Properties=species:S:1:pos:R:3 pbc="T T T"
K 0.000 0.000 0.000
Tc 0.000 2.608 2.962
Tc 2.608 0.000 2.962
As 2.608 2.608 0.000
Pb 0.000 0.000 2.962
```

Summary:
DOS at the Fermi energy: 4.76 states/eV/cell
M_tot: 5.6 Bohr magnetons per cell
Formation enthalpy at 0 K: 1.8385 eV per atom
Calculated volume: 32.23 Å³ per atom